1.
This record from Alexandria via LeMat-Bulk describes a relaxed Tm7Tl4Bi crystal. The functional is GGA-PBE.

```
Tm7Tl4Bi
1.0
5.704 0.000 0.000
2.852 8.855 -0.010
2.852 0.361 7.188
Tm Tl Bi
7 4 1
Cartesian
8.557 3.121 5.948
5.704 5.387 5.208
2.852 6.095 1.230
5.704 3.829 1.970
8.557 7.902 3.995
2.852 1.314 3.183
2.852 0.000 0.000
2.852 3.062 0.622
5.704 2.203 4.541
8.557 6.154 6.556
5.704 7.013 2.637
0.000 0.000 0.000
```

Values from the calculation:
Fermi-level density of states ... 10.40 states/eV/cell
E ... -3.82 eV per atom
Space group ... C2/m (12)
Energy of formation ... -97 meV/atom

2.
This record from Alexandria via LeMat-Bulk describes a relaxed MgAg2Os crystal. The functional is GGA-PBE.

```
MgAg2Os
1.0
5.115 -0.001 0.000
-2.047 4.687 0.000
0.000 0.000 2.755
Ag Os Mg
2 1 1
Cartesian
0.000 0.000 0.000
1.534 2.343 0.000
-1.023 2.344 1.377
2.557 0.000 1.377
```

Values from the calculation:
Fermi-level density of states ... 1.76 states/eV/cell
E ... -4.28 eV per atom
Space group ... Cmmm (65)
Energy of formation ... 347 meV/atom

3.
This record from Alexandria via LeMat-Bulk describes a relaxed Tl2InHgF crystal. The functional is GGA-PBE.

```
Tl2InHgF
1.0
-5.292 0.770 0.216
0.092 -0.851 5.283
0.744 4.895 0.776
Tl In F Hg
2 1 1 1
Cartesian
0.046 -0.426 2.642
-2.646 0.385 0.108
0.372 2.448 0.388
0.000 0.000 0.000
-2.228 2.407 3.138
```

Values from the calculation:
Fermi-level density of states ... 2.51 states/eV/cell
Formation energy (no corrections) ... -540 meV per atom
E ... -2.47 eV per atom
Space group ... P4/mmm (123)

4.
This record from Alexandria via LeMat-Bulk describes a relaxed HfTi12Pb3 crystal. The functional is GGA-PBE.

```
HfTi12Pb3
1.0
5.288 0.000 0.000
0.000 5.302 0.000
0.000 0.000 10.586
Ti Pb Hf
12 3 1
Cartesian
4.005 2.651 5.293
1.328 2.651 0.000
0.000 1.318 7.876
0.000 3.984 2.710
0.000 3.984 7.876
0.000 1.318 2.710
3.960 2.651 0.000
2.644 0.000 1.267
2.644 0.000 3.939
1.283 2.651 5.293
2.644 0.000 6.647
2.644 0.000 9.319
0.000 0.000 0.000
2.644 2.651 2.624
2.644 2.651 7.961
0.000 0.000 5.293
```

Values from the calculation:
Fermi-level density of states ... 23.47 states/eV/cell
E ... -7.26 eV per atom
Space group ... Pmmm (47)
Energy of formation ... -25 meV/atom

5.
This record from Alexandria via LeMat-Bulk describes a relaxed CsNdCd10 crystal. The functional is GGA-PBE.

```
CsNdCd10
1.0
4.805 0.000 0.000
0.000 6.283 0.000
0.000 0.000 10.710
Cd Nd Cs
10 1 1
Cartesian
2.402 1.445 2.354
2.402 4.838 8.356
0.000 0.000 3.473
2.402 0.000 5.355
0.000 0.000 7.237
0.000 3.141 1.705
2.402 1.445 8.356
2.402 4.838 2.354
2.402 3.141 0.000
0.000 3.141 9.005
0.000 0.000 0.000
0.000 3.141 5.355
```

Values from the calculation:
Fermi-level density of states ... 5.59 states/eV/cell
E ... -1.32 eV per atom
Space group ... Pmmm (47)
Energy of formation ... -90 meV/atom

6.
This record from Alexandria via LeMat-Bulk describes a relaxed CaNbRh2 crystal. The functional is GGA-PBE.

```
CaNbRh2
1.0
2.997 0.000 0.000
0.000 4.835 0.000
0.000 0.000 4.835
Rh Nb Ca
2 1 1
Cartesian
0.000 2.418 0.000
0.000 0.000 2.418
1.499 0.000 0.000
1.499 2.418 2.418
```

Values from the calculation:
Fermi-level density of states ... 3.05 states/eV/cell
E ... -6.94 eV per atom
Space group ... P4/mmm (123)
Energy of formation ... -247 meV/atom

7.
This record from Alexandria via LeMat-Bulk describes a relaxed TiFeReAg2 crystal. The functional is GGA-PBE.

```
TiFeReAg2
1.0
5.039 0.000 0.000
0.000 4.331 0.000
0.000 0.000 5.039
Fe Ag Ti Re
1 2 1 1
Cartesian
0.000 2.165 0.000
2.519 0.000 0.000
0.000 0.000 2.519
2.519 2.165 2.519
0.000 0.000 0.000
```

Values from the calculation:
Fermi-level density of states ... 7.99 states/eV/cell
E ... -5.37 eV per atom
Space group ... P4/mmm (123)
Energy of formation ... 1534 meV/atom

8.
This record from Alexandria via LeMat-Bulk describes a relaxed ZnRe2Ir crystal. The functional is GGA-PBE.

```
ZnRe2Ir
1.0
4.258 0.000 0.000
0.000 3.719 0.000
0.000 0.000 3.719
Re Zn Ir
2 1 1
Cartesian
0.000 0.000 0.000
0.000 1.859 1.859
2.129 1.859 0.000
2.129 0.000 1.859
```

Values from the calculation:
Fermi-level density of states ... 4.37 states/eV/cell
E ... -8.49 eV per atom
Space group ... P4/mmm (123)
Relative energy among the computed polymorphs ... 1.09 eV/f.u.
Energy of formation ... 269 meV/atom

9.
This record from Alexandria via LeMat-Bulk describes a relaxed NaZn12Ga4 crystal. The functional is GGA-PBE.

```
NaZn12Ga4
1.0
7.668 0.000 0.000
-2.556 7.229 0.000
-2.556 -3.615 6.261
Zn Ga Na
12 4 1
Cartesian
-2.521 1.782 4.984
4.070 -1.235 4.036
3.598 2.878 3.087
0.035 -1.593 5.312
2.521 5.208 0.949
2.591 -0.189 2.225
-0.035 3.804 4.036
-1.042 0.737 3.173
5.076 1.832 1.276
1.514 0.498 5.312
-1.514 4.849 2.225
1.042 3.117 0.949
3.834 0.000 0.000
-1.278 3.615 0.000
1.278 1.807 3.130
-1.278 -1.807 3.130
0.000 0.000 0.000
```

Values from the calculation:
Fermi-level density of states ... 7.76 states/eV/cell
E ... -1.48 eV per atom
Space group ... Im-3 (204)
Energy of formation ... 212 meV/atom

10.
This record from Alexandria via LeMat-Bulk describes a relaxed Ho3PuBi4 crystal. The functional is GGA-PBE.

```
Ho3PuBi4
1.0
-1.591 0.428 -6.121
5.693 -2.256 -1.638
-2.289 -5.908 0.182
Ho Bi Pu
3 4 1
Cartesian
2.051 -0.914 -3.879
1.702 -4.082 -0.728
-1.940 -2.740 -2.969
2.846 -1.128 -0.819
0.906 -3.868 -3.788
-0.796 0.214 -3.060
-1.144 -2.954 0.091
0.000 0.000 0.000
```

Values from the calculation:
Fermi-level density of states ... 18.62 states/eV/cell
E ... -6.15 eV per atom
Space group ... Pm-3m (221)
Energy of formation ... -697 meV/atom

11.
This record from Alexandria via LeMat-Bulk describes a relaxed Ac5TlCu2 crystal. The functional is GGA-PBE.

```
Ac5TlCu2
1.0
-5.410 6.185 2.852
-1.140 -4.413 7.408
8.776 2.583 -2.217
Cu Ac Tl
4 10 2
Cartesian
-2.997 -1.550 7.507
-1.122 -0.835 3.115
-3.553 3.321 2.754
-5.428 2.607 7.146
-0.027 -0.950 6.119
5.633 -0.331 2.252
2.252 5.304 1.924
-3.407 4.686 5.791
-2.949 1.304 8.953
0.000 0.000 0.000
5.174 3.051 -0.910
-3.275 0.886 5.130
-0.486 2.433 2.957
2.711 1.922 5.086
2.750 1.735 1.456
-0.525 2.620 6.586
```

Values from the calculation:
Fermi-level density of states ... 18.99 states/eV/cell
E ... -4.02 eV per atom
Space group ... I4/mcm (140)
Energy of formation ... -136 meV/atom

12.
This record from Alexandria via LeMat-Bulk describes a relaxed CsHg2S3 crystal. The functional is GGA-PBE.

```
CsHg2S3
1.0
3.812 0.000 0.000
0.000 8.001 0.000
0.000 0.000 12.330
S Cs Hg
6 2 4
Cartesian
0.000 5.852 8.339
1.906 3.547 11.622
1.906 6.273 4.863
1.906 7.548 0.709
1.906 2.273 7.468
0.000 1.851 3.991
0.000 4.775 2.141
0.000 0.774 10.190
0.000 0.539 2.001
0.000 4.539 10.329
1.906 0.628 5.621
1.906 4.628 6.710
```

Values from the calculation:
Fermi-level density of states ... 4.97 states/eV/cell
Formation energy (no corrections) ... -247 meV per atom
E ... -2.55 eV per atom
Space group ... Pmc2_1 (26)
Relative energy among the computed polymorphs ... 0.19 eV/f.u.

Q: Among the records above, which one has the lowest Fermi-level density of states?
A: MgAg2Os

Q: Among the records above, which one has the highest E?
A: CsNdCd10

Please write out number 9 again, unchanged.
This record from Alexandria via LeMat-Bulk describes a relaxed NaZn12Ga4 crystal. The functional is GGA-PBE.

```
NaZn12Ga4
1.0
7.668 0.000 0.000
-2.556 7.229 0.000
-2.556 -3.615 6.261
Zn Ga Na
12 4 1
Cartesian
-2.521 1.782 4.984
4.070 -1.235 4.036
3.598 2.878 3.087
0.035 -1.593 5.312
2.521 5.208 0.949
2.591 -0.189 2.225
-0.035 3.804 4.036
-1.042 0.737 3.173
5.076 1.832 1.276
1.514 0.498 5.312
-1.514 4.849 2.225
1.042 3.117 0.949
3.834 0.000 0.000
-1.278 3.615 0.000
1.278 1.807 3.130
-1.278 -1.807 3.130
0.000 0.000 0.000
```

Values from the calculation:
Fermi-level density of states ... 7.76 states/eV/cell
E ... -1.48 eV per atom
Space group ... Im-3 (204)
Energy of formation ... 212 meV/atom

Q: Which of these has the highest Fermi-level density of states?
A: HfTi12Pb3